1.
Material: NiBi
Method: DFT, GGA-PBE
State: relaxed

Summary:
- ΔH_f (0 K): 0.217 eV/atom
- Fermi-level density of states: 1.47 states/eV/f.u.
- Space group: No. 225

Cell lengths 5.457, 5.457, 5.457 Å; angles 90.00, 90.00, 90.00 degrees
Atoms (fractional coordinates):
Ni (0.000, 0.000, 0.000)
Ni (0.000, 0.500, 0.500)
Ni (0.500, 0.000, 0.500)
Ni (0.500, 0.500, 0.000)
Bi (0.500, 0.500, 0.500)
Bi (0.500, 0.000, 0.000)
Bi (0.000, 0.500, 0.000)
Bi (0.000, 0.000, 0.500)



2.
Material: Na2LiAs2Ir
Method: DFT, GGA-PBE
State: relaxed

Summary:
- ΔH_f (0 K): -0.446 eV/atom
- Fermi-level density of states: 2.27 states/eV/f.u.
- Space group: No. 72

Cell lengths 5.877, 5.745, 8.241 Å; angles 110.40, 110.89, 90.00 degrees
Atoms (fractional coordinates):
Na (0.418, 0.175, 0.351)
Na (0.582, 0.825, 0.649)
Na (0.067, 0.325, 0.649)
Na (0.933, 0.675, 0.351)
Li (0.000, 0.750, 0.000)
Li (0.000, 0.250, 0.000)
As (0.835, 0.105, 0.211)
As (0.376, 0.605, 0.211)
As (0.624, 0.395, 0.789)
As (0.165, 0.895, 0.789)
Ir (0.500, 0.750, 0.000)
Ir (0.500, 0.250, 0.000)



3.
Material: Hg2TeC
Method: DFT, GGA-PBE
State: relaxed

Summary:
- Fermi-level density of states: 3.05 states/eV/f.u.
- Space group: No. 122
- ΔE_f (raw): 1.050 eV per atom
- Energy above the lowest structure with this stoichiometry: 0.00 eV/f.u.

Cell lengths 6.142, 6.142, 6.865 Å; angles 63.43, 63.43, 90.00 degrees
Atoms (fractional coordinates):
C (0.500, 0.500, 0.000)
C (0.250, 0.750, 0.500)
Te (0.000, 0.000, 0.000)
Te (0.750, 0.250, 0.500)
Hg (0.510, 0.125, 0.250)
Hg (0.240, 0.625, 0.250)
Hg (0.375, 0.490, 0.750)
Hg (0.875, 0.760, 0.750)



- Which of these has the highest Fermi-level density of states?
  Hg2TeC